Sc8FeSn2 PBE relaxed; D(E_F) = 14.96 states/eV/cell; ΔH_f (0 K) = -346.3 meV per atom; space-group type = Immm (71); E = -70.93 eV per cell
1.0
-2.533 3.249 7.310
2.533 -3.249 7.310
2.533 3.249 -7.310
Sc Fe Sn
8 1 2
Direct
0.139 0.379 0.761
0.188 0.188 0.000
0.241 0.000 0.241
0.382 0.621 0.761
0.618 0.379 0.239
0.759 0.000 0.759
0.812 0.812 0.000
0.861 0.621 0.239
0.000 0.500 0.500
0.314 0.814 0.500
0.686 0.186 0.500

---

Sc4FeSn PBE relaxed; D(E_F) = 12.61 states/eV/cell; ΔH_f (0 K) = -356.6 meV per atom; space-group type = C2/c (15); E = -79.86 eV per cell
1.0
4.115 -6.221 0.000
4.115 6.221 0.000
-1.913 0.000 5.206
Sc Fe Sn
8 2 2
Direct
0.052 0.731 0.946
0.205 0.348 0.635
0.269 0.948 0.554
0.348 0.205 0.135
0.652 0.795 0.865
0.731 0.052 0.446
0.795 0.652 0.365
0.948 0.269 0.054
0.001 0.999 0.750
0.999 0.001 0.250
0.369 0.631 0.250
0.631 0.369 0.750

---

ScFe3Sn PBE relaxed; D(E_F) = 5.55 states/eV/cell; ΔH_f (0 K) = 1177.1 meV per atom; space-group type = Pm-3m (221); E = -29.84 eV per cell; polymorph energy (0 for the lowest one) = 0.150 eV/atom
1.0
4.508 0.000 0.000
0.000 4.508 0.000
0.000 0.000 4.508
Sc Fe Sn
1 3 1
Direct
0.000 0.000 0.000
0.000 0.000 0.500
0.000 0.500 0.000
0.500 0.000 0.000
0.500 0.500 0.500

---

ScFeSn2W PBE relaxed; D(E_F) = 5.41 states/eV/cell; ΔH_f (0 K) = 982.3 meV per atom; space-group type = P4/mmm (123); E = -30.84 eV per cell
1.0
5.242 0.000 0.000
0.000 5.242 0.000
0.000 0.000 4.963
Sc Fe Sn W
1 1 2 1
Direct
0.000 0.000 0.000
0.500 0.500 0.000
0.000 0.500 0.500
0.500 0.000 0.500
0.000 0.000 0.500

---

Zr2ScFeSn PBE relaxed; D(E_F) = 14.50 states/eV/cell; ΔH_f (0 K) = 1410.6 meV per atom; space-group type = P4/mmm (123); E = -28.84 eV per cell
1.0
5.239 0.000 0.000
0.000 5.239 0.000
0.000 0.000 5.098
Zr Sc Fe Sn
2 1 1 1
Direct
0.000 0.500 0.000
0.500 0.000 0.000
0.000 0.000 0.500
0.500 0.500 0.500
0.000 0.000 0.000

---

Sr2ScFe PBE relaxed; D(E_F) = 6.76 states/eV/cell; ΔH_f (0 K) = 730.2 meV per atom; space-group type = R-3m (166); E = -15.24 eV per cell; polymorph energy (0 for the lowest one) = 0.444 eV/atom
1.0
1.853 1.070 10.806
-1.853 1.070 10.806
0.000 -2.139 10.806
Sr Sc Fe
2 1 1
Direct
0.239 0.239 0.239
0.761 0.761 0.761
0.000 0.000 0.000
0.500 0.500 0.500

---

Sr2ScFe PBE relaxed; D(E_F) = 8.17 states/eV/cell; ΔH_f (0 K) = 936.0 meV per atom; space-group type = Fm-3m (225); E = -14.41 eV per cell; polymorph energy (0 for the lowest one) = 0.650 eV/atom
1.0
0.000 3.839 3.839
3.839 0.000 3.839
3.839 3.839 0.000
Sr Sc Fe
2 1 1
Direct
0.250 0.250 0.250
0.750 0.750 0.750
0.000 0.000 0.000
0.500 0.500 0.500

---

Sr2ScFe PBE relaxed; D(E_F) = 4.76 states/eV/cell; ΔH_f (0 K) = 370.3 meV per atom; space-group type = Cm (8); E = -16.68 eV per cell; polymorph energy (0 for the lowest one) = 0.084 eV/atom
1.0
3.822 -2.211 0.000
3.822 2.211 0.000
-2.524 0.000 8.405
Sr Sc Fe
2 1 1
Direct
0.000 0.000 0.000
0.184 0.184 0.556
0.758 0.758 0.278
0.425 0.425 0.279

---

SrScFe PBE relaxed; D(E_F) = 4.61 states/eV/cell; ΔH_f (0 K) = 334.2 meV per atom; space-group type = I4mm (107); E = -15.47 eV per cell; polymorph energy (0 for the lowest one) = 0.000 eV/atom
1.0
-1.754 1.754 6.168
1.754 -1.754 6.168
1.754 1.754 -6.168
Sr Sc Fe
1 1 1
Direct
0.000 0.000 0.000
0.733 0.733 0.000
0.320 0.320 0.000

---

SrSc3Fe PBE relaxed; D(E_F) = 11.16 states/eV/cell; ΔH_f (0 K) = 1956.3 meV per atom; space-group type = Pm-3m (221); E = -19.36 eV per cell; polymorph energy (0 for the lowest one) = 1.905 eV/atom
1.0
4.973 0.000 0.000
0.000 4.973 0.000
0.000 0.000 4.973
Sr Sc Fe
1 3 1
Direct
0.000 0.000 0.000
0.000 0.000 0.500
0.000 0.500 0.000
0.500 0.000 0.000
0.500 0.500 0.500

---

SrSc2Fe2 PBE relaxed; D(E_F) = 15.03 states/eV/cell; ΔH_f (0 K) = 251.5 meV per atom; space-group type = P4/mbm (127); E = -60.03 eV per cell
1.0
7.800 0.000 0.000
0.000 7.800 0.000
0.000 0.000 3.603
Sr Sc Fe
2 4 4
Direct
0.000 0.000 0.000
0.500 0.500 0.000
0.152 0.348 0.500
0.348 0.848 0.500
0.652 0.152 0.500
0.848 0.652 0.500
0.108 0.608 0.000
0.392 0.108 0.000
0.608 0.892 0.000
0.892 0.392 0.000

---

SrScFe4 PBE relaxed; D(E_F) = 8.45 states/eV/cell; ΔH_f (0 K) = 243.5 meV per atom; space-group type = F-43m (216); E = -40.40 eV per cell
1.0
0.000 3.631 3.631
3.631 0.000 3.631
3.631 3.631 0.000
Sr Sc Fe
1 1 4
Direct
0.000 0.000 0.000
0.250 0.250 0.250
0.127 0.624 0.624
0.624 0.127 0.624
0.624 0.624 0.127
0.624 0.624 0.624

---

Sr4ScFe PBE relaxed; D(E_F) = 15.41 states/eV/cell; ΔH_f (0 K) = 1019.5 meV per atom; space-group type = F-43m (216); E = -15.40 eV per cell
1.0
0.000 4.998 4.998
4.998 0.000 4.998
4.998 4.998 0.000
Sr Sc Fe
4 1 1
Direct
0.125 0.125 0.125
0.125 0.125 0.625
0.125 0.625 0.125
0.625 0.125 0.125
0.500 0.500 0.500
0.750 0.750 0.750

---

SrScFe PBE relaxed; D(E_F) = 8.33 states/eV/cell; ΔH_f (0 K) = 691.5 meV per atom; space-group type = F-43m (216); E = -14.40 eV per cell; polymorph energy (0 for the lowest one) = 0.357 eV/atom
1.0
0.000 3.434 3.434
3.434 0.000 3.434
3.434 3.434 0.000
Sr Sc Fe
1 1 1
Direct
0.000 0.000 0.000
0.500 0.500 0.500
0.250 0.250 0.250

---

Sr2ScFe PBE relaxed; D(E_F) = 6.12 states/eV/cell; ΔH_f (0 K) = 408.6 meV per atom; space-group type = Imm2 (44); E = -16.52 eV per cell; polymorph energy (0 for the lowest one) = 0.123 eV/atom
1.0
-1.829 3.005 5.701
1.829 -3.005 5.701
1.829 3.005 -5.701
Sr Sc Fe
2 1 1
Direct
0.000 0.000 0.000
0.689 0.189 0.500
0.374 0.374 0.000
0.224 0.724 0.500

---

Sr2ScFe PBE relaxed; D(E_F) = 7.17 states/eV/cell; ΔH_f (0 K) = 708.7 meV per atom; space-group type = I4/mmm (139); E = -15.32 eV per cell; polymorph energy (0 for the lowest one) = 0.423 eV/atom
1.0
-2.465 2.465 5.101
2.465 -2.465 5.101
2.465 2.465 -5.101
Sr Sc Fe
2 1 1
Direct
0.250 0.750 0.500
0.750 0.250 0.500
0.000 0.000 0.000
0.500 0.500 0.000

---

SrScFe PBE relaxed; D(E_F) = 2.79 states/eV/cell; ΔH_f (0 K) = 537.3 meV per atom; space-group type = P3m1 (156); E = -14.86 eV per cell; polymorph energy (0 for the lowest one) = 0.203 eV/atom
1.0
3.679 0.000 0.000
-1.840 3.186 0.000
0.000 0.000 6.894
Sr Sc Fe
1 1 1
Direct
0.000 0.000 0.000
0.667 0.333 0.519
0.333 0.667 0.306

---

Sr2ScFe PBE relaxed; D(E_F) = 7.86 states/eV/cell; ΔH_f (0 K) = 686.4 meV per atom; space-group type = P4/mmm (123); E = -15.41 eV per cell; polymorph energy (0 for the lowest one) = 0.400 eV/atom
1.0
5.063 0.000 0.000
0.000 5.063 0.000
0.000 0.000 4.788
Sr Sc Fe
2 1 1
Direct
0.000 0.500 0.000
0.500 0.000 0.000
0.000 0.000 0.500
0.500 0.500 0.500

---

Sr2ScFe PBE relaxed; D(E_F) = 5.67 states/eV/cell; ΔH_f (0 K) = 687.4 meV per atom; space-group type = I-4m2 (119); E = -15.41 eV per cell; polymorph energy (0 for the lowest one) = 0.401 eV/atom
1.0
-2.524 2.524 4.740
2.524 -2.524 4.740
2.524 2.524 -4.740
Sr Sc Fe
2 1 1
Direct
0.000 0.000 0.000
0.750 0.250 0.500
0.500 0.500 0.000
0.250 0.750 0.500

---

Sr2ScFe PBE relaxed; D(E_F) = 12.05 states/eV/cell; ΔH_f (0 K) = 577.3 meV per atom; space-group type = I-42d (122); E = -31.70 eV per cell; polymorph energy (0 for the lowest one) = 0.291 eV/atom
1.0
-5.755 5.755 2.287
5.755 -5.755 2.287
5.755 5.755 -2.287
Sr Sc Fe
4 2 2
Direct
0.375 0.206 0.331
0.794 0.125 0.169
0.875 0.044 0.669
0.956 0.625 0.831
0.250 0.750 0.500
0.500 0.500 0.000
0.000 0.000 0.000
0.750 0.250 0.500

---

SrSc3Fe PBE relaxed; D(E_F) = 10.18 states/eV/cell; ΔH_f (0 K) = 51.1 meV per atom; space-group type = Pm-3m (221); E = -28.88 eV per cell; polymorph energy (0 for the lowest one) = 0.000 eV/atom
1.0
5.038 0.000 0.000
0.000 5.038 0.000
0.000 0.000 5.038
Sr Sc Fe
1 3 1
Direct
0.000 0.000 0.000
0.000 0.500 0.500
0.500 0.000 0.500
0.500 0.500 0.000
0.500 0.500 0.500

---

Sr2ScFe PBE relaxed; D(E_F) = 6.80 states/eV/cell; ΔH_f (0 K) = 610.6 meV per atom; space-group type = P4/mmm (123); E = -15.72 eV per cell; polymorph energy (0 for the lowest one) = 0.325 eV/atom
1.0
3.615 0.000 0.000
0.000 3.615 0.000
0.000 0.000 9.626
Sr Sc Fe
2 1 1
Direct
0.000 0.000 0.209
0.000 0.000 0.791
0.500 0.500 0.500
0.500 0.500 0.000

---

SrScFe PBE relaxed; D(E_F) = 6.03 states/eV/cell; ΔH_f (0 K) = 1414.0 meV per atom; space-group type = F-43m (216); E = -12.23 eV per cell; polymorph energy (0 for the lowest one) = 1.080 eV/atom
1.0
0.000 3.534 3.534
3.534 0.000 3.534
3.534 3.534 0.000
Sr Sc Fe
1 1 1
Direct
0.000 0.000 0.000
0.750 0.750 0.750
0.250 0.250 0.250

---

Sr2ScFe PBE relaxed; D(E_F) = 5.43 states/eV/cell; ΔH_f (0 K) = 286.0 meV per atom; space-group type = Pm (6); E = -17.01 eV per cell; polymorph energy (0 for the lowest one) = 0.000 eV/atom
1.0
3.660 0.000 0.000
0.000 3.674 0.000
-0.010 0.000 9.290
Sr Sc Fe
2 1 1
Direct
0.000 0.000 0.000
0.500 0.500 0.375
0.001 0.000 0.653
0.501 0.500 0.759

---

Sr2ScFe PBE relaxed; D(E_F) = 5.75 states/eV/cell; ΔH_f (0 K) = 365.1 meV per atom; space-group type = Immm (71); E = -16.70 eV per cell; polymorph energy (0 for the lowest one) = 0.079 eV/atom
1.0
-1.748 2.018 9.318
1.748 -2.018 9.318
1.748 2.018 -9.318
Sr Sc Fe
2 1 1
Direct
0.156 0.156 0.000
0.844 0.844 0.000
0.500 0.000 0.500
0.000 0.500 0.500

---

SrScFe PBE relaxed; D(E_F) = 4.64 states/eV/cell; ΔH_f (0 K) = 589.7 meV per atom; space-group type = P-6m2 (187); E = -14.71 eV per cell; polymorph energy (0 for the lowest one) = 0.256 eV/atom
1.0
4.473 0.000 0.000
-2.236 3.874 0.000
0.000 0.000 4.739
Sr Sc Fe
1 1 1
Direct
0.000 0.000 0.000
0.333 0.667 0.500
0.667 0.333 0.500

---

SrSc2FeTe PBE relaxed; D(E_F) = 9.90 states/eV/cell; space-group type = P4/mmm (123); formation energy without anion corrections = 874 kJ/mol of formula units; E = -16.89 eV per cell
1.0
5.321 0.000 0.000
0.000 5.321 0.000
0.000 0.000 5.658
Sr Sc Fe Te
1 2 1 1
Direct
0.000 0.000 0.000
0.000 0.500 0.000
0.500 0.000 0.000
0.500 0.500 0.500
0.000 0.000 0.500

---

SrYSc2Fe PBE relaxed; D(E_F) = 4.93 states/eV/cell; ΔH_f (0 K) = 75.9 meV per atom; space-group type = P4/mmm (123); E = -28.89 eV per cell
1.0
5.087 0.000 0.000
0.000 5.087 0.000
0.000 0.000 5.306
Sr Y Sc Fe
1 1 2 1
Direct
0.000 0.000 0.000
0.500 0.500 0.000
0.000 0.500 0.500
0.500 0.000 0.500
0.500 0.500 0.500

---

SrY2ScFe PBE relaxed; D(E_F) = 4.40 states/eV/cell; ΔH_f (0 K) = 81.9 meV per atom; space-group type = P4/mmm (123); E = -28.99 eV per cell
1.0
5.387 0.000 0.000
0.000 5.387 0.000
0.000 0.000 5.066
Sr Y Sc Fe
1 2 1 1
Direct
0.000 0.000 0.000
0.000 0.500 0.500
0.500 0.000 0.500
0.500 0.500 0.000
0.500 0.500 0.500